# 1
{
  "formula": "Zn2W",
  "functional": "GGA-PBE",
  "state": "optimized geometry",
  "ef_ev_per_atom": 0.63,
  "magmom_total_mub_per_cell": 0.58,
  "dos_ef_per_ev_cell": 6.028,
  "lattice_angstrom": [[-0.488, 3.631, 2.569], [-3.303, -3.006, -0.276], [2.008, -2.577, 4.024]],
  "species": ["Zn", "Zn", "Zn", "Zn", "W", "W"],
  "frac_coords": [[0.333, 0.667, 0.750], [0.000, 0.000, 0.000], [0.000, 0.000, 0.500], [0.667, 0.333, 0.250], [0.333, 0.667, 0.250], [0.667, 0.333, 0.750]]
}

# 2
{
  "formula": "Pm3Nd2Pb4",
  "functional": "GGA-PBE",
  "state": "optimized geometry",
  "ef_ev_per_atom": -0.59,
  "magmom_total_mub_per_cell": 0.00,
  "dos_ef_per_ev_cell": 13.794,
  "lattice_angstrom": [[-3.777, -2.735, -6.902], [1.012, -6.323, 5.836], [-7.665, 1.936, 3.427]],
  "species": ["Pb", "Pb", "Pb", "Pb", "Pb", "Pb", "Pb", "Pb", "Nd", "Nd", "Nd", "Nd", "Pm", "Pm", "Pm", "Pm", "Pm", "Pm"],
  "frac_coords": [[0.326, 0.085, 0.963], [0.174, 0.915, 0.463], [0.826, 0.085, 0.537], [0.138, 0.512, 0.860], [0.674, 0.915, 0.037], [0.862, 0.488, 0.140], [0.362, 0.488, 0.360], [0.638, 0.512, 0.640], [0.942, 0.804, 0.820], [0.558, 0.196, 0.320], [0.058, 0.196, 0.180], [0.442, 0.804, 0.680], [0.500, 0.500, 0.000], [0.000, 0.500, 0.500], [0.734, 0.242, 0.838], [0.266, 0.758, 0.162], [0.234, 0.242, 0.662], [0.766, 0.758, 0.338]]
}

# 3
{
  "formula": "NdLu2O",
  "functional": "GGA-PBE",
  "state": "optimized geometry",
  "magmom_total_mub_per_cell": 0.00,
  "dos_ef_per_ev_cell": 3.143,
  "e_form_raw_ev_per_atom": -1.208,
  "lattice_angstrom": [[3.395, 0.000, 0.000], [1.698, 2.940, 0.000], [1.698, 0.980, 9.301]],
  "species": ["Lu", "Lu", "Nd", "O"],
  "frac_coords": [[0.120, 0.120, 0.639], [0.880, 0.880, 0.361], [0.000, 0.000, 0.000], [0.500, 0.500, 0.500]]
}

# 4
{
  "formula": "Sr2Al2Ga",
  "functional": "GGA-PBE",
  "state": "optimized geometry",
  "ef_ev_per_atom": -0.15,
  "magmom_total_mub_per_cell": 0.00,
  "dos_ef_per_ev_cell": 9.563,
  "lattice_angstrom": [[-1.655, -0.776, 7.054], [-1.739, -6.979, -1.175], [4.923, -1.396, 1.002]],
  "species": ["Ga", "Ga", "Sr", "Sr", "Sr", "Sr", "Al", "Al", "Al", "Al"],
  "frac_coords": [[0.000, 0.000, 0.000], [0.500, 0.500, 0.000], [0.822, 0.322, 0.500], [0.178, 0.678, 0.500], [0.322, 0.178, 0.500], [0.678, 0.822, 0.500], [0.370, 0.870, 0.000], [0.630, 0.130, 0.000], [0.130, 0.370, 0.000], [0.870, 0.630, 0.000]]
}

# 5
{
  "formula": "LiPaAs2",
  "functional": "GGA-PBE",
  "state": "optimized geometry",
  "ef_ev_per_atom": -0.79,
  "magmom_total_mub_per_cell": 1.74,
  "dos_ef_per_ev_cell": 9.600,
  "lattice_angstrom": [[-2.382, 1.944, 2.527], [1.626, -1.972, 3.050], [6.957, 7.251, 0.979]],
  "species": ["Pa", "Pa", "Li", "Li", "As", "As", "As", "As"],
  "frac_coords": [[0.500, 0.000, 0.718], [0.000, 0.500, 0.282], [0.500, 0.500, 0.000], [0.000, 0.000, 0.000], [0.000, 0.000, 0.500], [0.000, 0.500, 0.826], [0.500, 0.500, 0.500], [0.500, 0.000, 0.174]]
}

# 6
{
  "formula": "B4O",
  "functional": "GGA-PBE",
  "state": "optimized geometry",
  "magmom_total_mub_per_cell": 0.00,
  "dos_ef_per_ev_cell": 0.978,
  "e_form_raw_ev_per_atom": 2.094,
  "lattice_angstrom": [[-1.592, -0.135, -2.990], [1.545, -2.937, -0.690], [-2.564, -1.687, 1.441]],
  "species": ["B", "B", "B", "B", "O"],
  "frac_coords": [[0.000, 0.000, 0.000], [0.000, 0.500, 0.500], [0.500, 0.000, 0.500], [0.500, 0.500, 0.000], [0.500, 0.500, 0.500]]
}